[1]
Here is an optimized crystal structure of La4Co2Hg from Alexandria. Energies are from PBE-GGA.

The structure in POSCAR format:
```
La4Co2Hg
1.0
6.0467 0.0000 0.0000
0.0000 6.0467 0.0000
3.0234 3.0234 6.4289
Co Hg La
2 1 4
direct
0.5848 0.5848 0.8304 Co
0.4152 0.4152 0.1696 Co
0.0000 0.0000 0.0000 Hg
0.7534 0.7534 0.4932 La
0.2466 0.2466 0.5068 La
0.0000 0.5000 0.0000 La
0.5000 0.0000 0.0000 La
```

Volume   235.1 Å³ per cell
Density of states at the Fermi level   1.66 states/eV per atom
SG   No. 139
Formation energy from the elements   1.122 eV per formula unit
ΔE to the lowest computed polymorph   0.363 eV/atom
E   -4.73 eV/atom



[2]
Here is an optimized crystal structure of La2Co2Hg from Alexandria. Energies are from PBE-GGA.

The structure in POSCAR format:
```
La2Co2Hg
1.0
-3.1858 0.0307 1.4352
1.1734 -1.9568 2.6465
1.2220 6.8373 6.8204
Co Hg La
2 1 2
direct
0.7500 0.2500 0.5000 Co
0.2500 0.7500 0.5000 Co
0.0000 0.0000 0.0000 Hg
0.3758 0.3758 0.2484 La
0.6242 0.6242 0.7516 La
```

Volume   115.0 Å³ per cell
Density of states at the Fermi level   1.28 states/eV per atom
SG   No. 139
Formation energy from the elements   -0.202 eV per formula unit
E   -4.91 eV/atom



[3]
Here is an optimized crystal structure of La4Co2Hg from Alexandria. Energies are from PBE-GGA.

The structure in POSCAR format:
```
La4Co2Hg
1.0
4.0935 0.0000 0.0000
-2.0467 6.9602 0.0000
0.0000 0.0000 13.8335
Co Hg La
4 2 8
direct
0.1309 0.2618 0.4369 Co
0.8691 0.7382 0.9369 Co
0.1309 0.2618 0.0631 Co
0.8691 0.7382 0.5631 Co
0.6079 0.2157 0.7500 Hg
0.3921 0.7843 0.2500 Hg
0.7670 0.5341 0.1074 La
0.7670 0.5341 0.3926 La
0.2330 0.4659 0.8926 La
0.2330 0.4659 0.6074 La
0.9237 0.8473 0.7500 La
0.0763 0.1527 0.2500 La
0.5000 0.0000 0.0000 La
0.5000 0.0000 0.5000 La
```

Volume   394.1 Å³ per cell
Density of states at the Fermi level   0.91 states/eV per atom
SG   No. 63
Formation energy from the elements   -1.417 eV per formula unit
ΔE to the lowest computed polymorph   0.000 eV/atom
E   -5.09 eV/atom



[4]
Here is an optimized crystal structure of La5CoHg from Alexandria. Energies are from PBE-GGA.

The structure in POSCAR format:
```
La5CoHg
1.0
-5.6278 2.4963 -1.7633
-3.8390 0.6308 5.0869
0.6498 11.5627 2.9792
La Co Hg
10 2 2
direct
0.9638 0.5722 0.1376 La
0.1956 0.5773 0.5492 La
0.5722 0.9638 0.6376 La
0.0214 0.9786 0.2500 La
0.4227 0.8044 0.9508 La
0.5773 0.1956 0.0492 La
0.9786 0.0214 0.7500 La
0.4278 0.0362 0.3624 La
0.8044 0.4227 0.4508 La
0.0362 0.4278 0.8624 La
0.0000 0.0000 0.0000 Co
0.0000 0.0000 0.5000 Co
0.4576 0.5424 0.2500 Hg
0.5424 0.4576 0.7500 Hg
```

Volume   436.2 Å³ per cell
Density of states at the Fermi level   1.01 states/eV per atom
SG   No. 15
Formation energy from the elements   -1.037 eV per formula unit
ΔE to the lowest computed polymorph   0.000 eV/atom
E   -4.73 eV/atom



[5]
Here is an optimized crystal structure of La12Co5Hg3 from Alexandria. Energies are from PBE-GGA.

The structure in POSCAR format:
```
La12Co5Hg3
1.0
-11.5147 -4.1965 -8.4213
7.5477 -12.0241 4.4240
-4.9950 7.3753 11.9069
Hg Co La
12 20 48
direct
0.7500 0.3750 0.1250 Hg
0.8750 0.7500 0.1250 Hg
0.3750 0.7500 0.6250 Hg
0.2500 0.1250 0.3750 Hg
0.8750 0.1250 0.2500 Hg
0.3750 0.6250 0.2500 Hg
0.6250 0.3750 0.7500 Hg
0.1250 0.8750 0.7500 Hg
0.7500 0.8750 0.6250 Hg
0.6250 0.2500 0.3750 Hg
0.1250 0.2500 0.8750 Hg
0.2500 0.6250 0.8750 Hg
0.1250 0.3750 0.2500 Co
0.0000 0.5000 0.0000 Co
0.0000 0.0000 0.0000 Co
0.3750 0.2500 0.1250 Co
0.5000 0.0000 0.5000 Co
0.5000 0.5000 0.0000 Co
0.1250 0.7500 0.3750 Co
0.7500 0.1250 0.8750 Co
0.7500 0.6250 0.3750 Co
0.3750 0.1250 0.7500 Co
0.6250 0.8750 0.2500 Co
0.5000 0.5000 0.5000 Co
0.5000 0.0000 0.0000 Co
0.0000 0.0000 0.5000 Co
0.2500 0.3750 0.6250 Co
0.2500 0.8750 0.1250 Co
0.0000 0.5000 0.5000 Co
0.8750 0.2500 0.6250 Co
0.6250 0.7500 0.8750 Co
0.8750 0.6250 0.7500 Co
0.7045 0.1197 0.0248 La
0.3204 0.5248 0.4051 La
0.9752 0.3803 0.2955 La
0.5248 0.2045 0.1197 La
0.5848 0.7045 0.6796 La
0.9752 0.5949 0.1796 La
0.3204 0.7955 0.4152 La
0.0949 0.9152 0.1197 La
0.5949 0.9752 0.6796 La
0.7045 0.5848 0.1796 La
0.7955 0.4752 0.3803 La
0.8204 0.9051 0.0248 La
0.1197 0.7045 0.5248 La
0.3803 0.4051 0.0848 La
0.0848 0.9051 0.3803 La
0.4152 0.1197 0.5949 La
0.0848 0.1796 0.2045 La
0.4752 0.6796 0.0949 La
0.8204 0.9152 0.2955 La
0.1197 0.4152 0.0949 La
0.3803 0.9752 0.7955 La
0.5949 0.6197 0.4152 La
0.9051 0.8204 0.5248 La
0.7955 0.3204 0.9152 La
0.4051 0.3803 0.5848 La
0.0949 0.1796 0.4752 La
0.2045 0.6796 0.0848 La
0.1796 0.0848 0.7045 La
0.6197 0.0248 0.2045 La
0.8803 0.5848 0.9051 La
0.5248 0.3204 0.9051 La
0.5848 0.8803 0.4051 La
0.9152 0.8204 0.7955 La
0.9152 0.0949 0.6197 La
0.8803 0.2955 0.4752 La
0.1796 0.0949 0.9752 La
0.6197 0.5949 0.9152 La
0.4051 0.0248 0.3204 La
0.2955 0.4152 0.8204 La
0.2045 0.5248 0.6197 La
0.9051 0.0848 0.8803 La
0.6796 0.2045 0.5848 La
0.4752 0.7955 0.8803 La
0.0248 0.4051 0.8204 La
0.4152 0.2955 0.3204 La
0.0248 0.6197 0.7045 La
0.6796 0.4752 0.5949 La
0.2955 0.8803 0.9752 La
```

Volume   2531.1 Å³ per cell
Density of states at the Fermi level   0.97 states/eV per atom
SG   No. 230
Formation energy from the elements   -1.358 eV per formula unit
E   -4.85 eV/atom



[6]
Here is an optimized crystal structure of La5CoHg from Alexandria. Energies are from PBE-GGA.

The structure in POSCAR format:
```
La5CoHg
1.0
5.0117 0.0000 0.0000
0.0000 5.0117 0.0000
0.0000 0.0000 8.2288
La Co Hg
5 1 1
direct
0.0000 0.5000 0.8071 La
0.0000 0.5000 0.1929 La
0.5000 0.0000 0.8071 La
0.5000 0.0000 0.1929 La
0.5000 0.5000 0.5000 La
0.5000 0.5000 0.0000 Co
0.0000 0.0000 0.5000 Hg
```

Volume   206.7 Å³ per cell
Density of states at the Fermi level   1.48 states/eV per atom
SG   No. 123
Formation energy from the elements   -0.758 eV per formula unit
ΔE to the lowest computed polymorph   0.040 eV/atom
E   -4.69 eV/atom



[7]
Here is an optimized crystal structure of La19Co6Hg4 from Alexandria. Energies are from PBE-GGA.

The structure in POSCAR format:
```
La19Co6Hg4
1.0
-2.1413 7.3065 -7.1968
2.0480 -9.1023 -4.7664
-8.2470 -1.1641 6.3559
La Co Hg
19 6 4
direct
0.7032 0.0000 0.7032 La
0.2968 0.0000 0.2968 La
0.2968 0.2968 0.0000 La
0.7032 0.7032 0.0000 La
0.0000 0.7032 0.7032 La
0.0000 0.2968 0.2968 La
0.0000 0.0000 0.0000 La
0.2874 0.2446 0.6365 La
0.7126 0.3491 0.9572 La
0.6080 0.6509 0.3635 La
0.9572 0.7126 0.3491 La
0.3920 0.7554 0.0428 La
0.6365 0.2874 0.2446 La
0.0428 0.3920 0.7554 La
0.3635 0.6080 0.6509 La
0.7554 0.0428 0.3920 La
0.3491 0.9572 0.7126 La
0.2446 0.6365 0.2874 La
0.6509 0.3635 0.6080 La
0.3867 0.5000 0.8867 Co
0.6133 0.5000 0.1133 Co
0.1133 0.6133 0.5000 Co
0.8867 0.3867 0.5000 Co
0.5000 0.8867 0.3867 Co
0.5000 0.1133 0.6133 Co
0.0000 0.0000 0.6582 Hg
0.0000 0.6582 0.0000 Hg
0.3418 0.3418 0.3418 Hg
0.6582 0.0000 0.0000 Hg
```

Volume   885.3 Å³ per cell
Density of states at the Fermi level   1.06 states/eV per atom
SG   No. 197
Formation energy from the elements   -4.449 eV per formula unit
E   -4.89 eV/atom



[8]
Here is an optimized crystal structure of La2Co2Hg from Alexandria. Energies are from PBE-GGA.

The structure in POSCAR format:
```
La2Co2Hg
1.0
-2.8394 0.8043 2.8625
-0.5284 -3.9111 0.5748
5.3024 2.0073 4.6956
La Co Hg
2 2 1
direct
0.5000 0.6346 0.2692 La
0.5000 0.3654 0.7308 La
0.0000 0.2116 0.4232 Co
0.0000 0.7884 0.5768 Co
0.0000 0.0000 0.0000 Hg
```

Volume   116.2 Å³ per cell
Density of states at the Fermi level   0.91 states/eV per atom
SG   No. 65
Formation energy from the elements   -1.302 eV per formula unit
E   -5.13 eV/atom



[9]
Here is an optimized crystal structure of La5Co2Hg from Alexandria. Energies are from PBE-GGA.

The structure in POSCAR format:
```
La5Co2Hg
1.0
7.1554 0.0000 -3.3777
-1.5945 6.9755 -3.3777
-0.1249 -0.1567 9.0033
La Co Hg
10 4 2
direct
0.5303 0.7104 0.7407 La
0.7896 0.9697 0.2593 La
0.0000 0.0000 0.0000 La
0.5000 0.5000 0.0000 La
0.2104 0.0303 0.7407 La
0.7104 0.2104 0.7407 La
0.0303 0.5303 0.7407 La
0.2896 0.7896 0.2593 La
0.9697 0.4697 0.2593 La
0.4697 0.2896 0.2593 La
0.1350 0.3650 0.0000 Co
0.6350 0.1350 0.0000 Co
0.3650 0.8650 0.0000 Co
0.8650 0.6350 0.0000 Co
0.7500 0.7500 0.5000 Hg
0.2500 0.2500 0.5000 Hg
```

Volume   441.8 Å³ per cell
Density of states at the Fermi level   1.31 states/eV per atom
SG   No. 140
Formation energy from the elements   -1.696 eV per formula unit
E   -5.11 eV/atom



[10]
Here is an optimized crystal structure of La3CoHg2 from Alexandria. Energies are from PBE-GGA.

The structure in POSCAR format:
```
La3CoHg2
1.0
6.0446 0.0000 0.0000
0.0000 7.8294 0.0019
-3.0223 -1.9586 7.5108
La Co Hg
6 2 4
direct
0.5002 0.2500 0.0000 La
0.4998 0.7500 0.0000 La
0.1258 0.0627 0.2511 La
0.8747 0.4373 0.7489 La
0.1253 0.5627 0.2511 La
0.8742 0.9373 0.7489 La
0.9994 0.7500 0.0000 Co
0.0006 0.2500 0.0000 Co
0.6926 0.5966 0.3859 Hg
0.6932 0.0966 0.3859 Hg
0.3068 0.9034 0.6141 Hg
0.3074 0.4034 0.6141 Hg
```

Volume   355.5 Å³ per cell
Density of states at the Fermi level   0.72 states/eV per atom
SG   No. 15
Formation energy from the elements   -1.727 eV per formula unit
ΔE to the lowest computed polymorph   0.051 eV/atom
E   -4.04 eV/atom



[11]
Here is an optimized crystal structure of La2Co2Hg from Alexandria. Energies are from PBE-GGA.

The structure in POSCAR format:
```
La2Co2Hg
1.0
-0.3214 -5.1554 1.6370
4.3712 0.7183 3.1206
-0.2748 -1.1317 5.3498
Co Hg La
2 1 2
direct
0.3416 0.3416 0.3168 Co
0.6584 0.6584 0.6832 Co
0.0000 0.0000 0.0000 Hg
0.7500 0.2500 0.5000 La
0.2500 0.7500 0.5000 La
```

Volume   114.8 Å³ per cell
Density of states at the Fermi level   1.27 states/eV per atom
SG   No. 139
Formation energy from the elements   -0.177 eV per formula unit
E   -4.91 eV/atom



[12]
Here is an optimized crystal structure of La12Co6Hg from Alexandria. Energies are from PBE-GGA.

The structure in POSCAR format:
```
La12Co6Hg
1.0
8.2742 0.0000 -2.9254
-4.1371 7.1657 -2.9254
0.0000 0.0000 8.7761
La Co Hg
12 6 1
direct
0.3116 0.1207 0.8091 La
0.3116 0.5025 0.1909 La
0.6884 0.4975 0.8091 La
0.6884 0.8793 0.1909 La
0.1207 0.8091 0.3116 La
0.5025 0.1909 0.3116 La
0.4975 0.8091 0.6884 La
0.8793 0.1909 0.6884 La
0.8091 0.3116 0.1207 La
0.1909 0.3116 0.5025 La
0.8091 0.6884 0.4975 La
0.1909 0.6884 0.8793 La
0.3811 0.5000 0.8811 Co
0.6189 0.5000 0.1189 Co
0.5000 0.8811 0.3811 Co
0.5000 0.1189 0.6189 Co
0.8811 0.3811 0.5000 Co
0.1189 0.6189 0.5000 Co
0.0000 0.0000 0.0000 Hg
```

Volume   520.3 Å³ per cell
Density of states at the Fermi level   0.98 states/eV per atom
SG   No. 204
Formation energy from the elements   -3.251 eV per formula unit
E   -5.54 eV/atom